First-principles (PBE-GGA) data for an optimized crystal structure of AgPPdO, as listed in OQMD.

Lattice parameters (Å, degrees): 4.374 4.374 6.679 90.00 90.00 90.00
Fractional positions:
Ag: 0.250 0.750 0.000
Ag: 0.750 0.250 0.000
P: 0.250 0.250 0.183
P: 0.750 0.750 0.817
Pd: 0.250 0.250 0.520
Pd: 0.750 0.750 0.480
O: 0.250 0.750 0.500
O: 0.750 0.250 0.500

Computed properties:
**Offset from the most stable computed form**: 0.69 eV/f.u.
**Space group**: P4/nmm, No. 129
**VASP energy**: -4.414 eV/atom